DFT (PBE+U) results for ErNpCrO6 after structural relaxation.

POSCAR file:
```
ErNpCrO6
1.0
5.545 0.000 0.000
-2.772 4.802 0.000
0.000 0.000 8.687
Er Np Cr O
2 2 2 12
direct
0.333 0.667 0.250 Er
0.667 0.333 0.750 Er
0.333 0.667 0.750 Np
0.667 0.333 0.250 Np
0.000 0.000 0.000 Cr
0.000 0.000 0.500 Cr
0.024 0.336 0.625 O
0.024 0.688 0.875 O
0.312 0.336 0.875 O
0.312 0.976 0.625 O
0.336 0.024 0.125 O
0.336 0.312 0.375 O
0.664 0.688 0.625 O
0.664 0.976 0.875 O
0.688 0.024 0.375 O
0.688 0.664 0.125 O
0.976 0.312 0.125 O
0.976 0.664 0.375 O
```

## Properties
- DOS(E_F): 1.33 states/eV/cell
- Size of the total moment: 4.00 μB/f.u.
- Total energy: -8.690 eV per atom